Entry 1:
Density functional theory data (GGA-PBE) for a relaxed TbPIO4 crystal.

Cell and atoms, written as CIF:
```
data_TbPIO4
_cell_length_a 11.4626
_cell_length_b 6.2548
_cell_length_c 6.5787
_cell_angle_alpha 90.00
_cell_angle_beta 100.21
_cell_angle_gamma 90.00
_space_group_name_H-M_alt 'C 1 2/m 1'
_space_group_IT_number 12
loop_
_space_group_symop_operation_xyz
'x,y,z'
'-x,-y,-z'
'-x,y,-z'
'x,-y,z'
'x+1/2,y+1/2,z'
'-x+1/2,-y+1/2,-z'
'-x+1/2,y+1/2,-z'
'x+1/2,-y+1/2,z'
loop_
_atom_site_label
_atom_site_type_symbol
_atom_site_fract_x
_atom_site_fract_y
_atom_site_fract_z
Tb1 Tb 0.1966 0.0000 0.3189
P1 P 0.1348 0.0000 0.7549
I1 I 0.0376 0.5000 0.2035
O1 O 0.0004 0.0000 0.2702
O2 O 0.1792 0.1959 0.6358
O3 O 0.1933 0.0000 0.9829
```

=====

Entry 2:
Density functional theory data (GGA-PBE) for a relaxed TcP2IO crystal.

Cell and atoms, written as CIF:
```
data_TcP2IO
_cell_length_a 4.8759
_cell_length_b 4.8759
_cell_length_c 3.7864
_cell_angle_alpha 90.00
_cell_angle_beta 90.00
_cell_angle_gamma 90.00
_space_group_name_H-M_alt 'P 4/m m m'
_space_group_IT_number 123
_space_group_name_Hall '-P 4 2'
loop_
_atom_site_label
_atom_site_type_symbol
_atom_site_fract_x
_atom_site_fract_y
_atom_site_fract_z
Tc1 Tc 0.0000 0.0000 0.0000
P1 P 0.0000 0.5000 0.0000
I1 I 0.5000 0.5000 0.5000
O1 O 0.0000 0.0000 0.5000
```

polymorph energy (0 for the lowest one)	0.000	eV per atom
density of states at the Fermi level	3.4	states/eV/cell

=====

Entry 3:
Density functional theory data (GGA-PBE) for a relaxed TcPIO2 crystal.

Cell and atoms, written as CIF:
```
data_TcPIO2
_cell_length_a 3.8426
_cell_length_b 3.8426
_cell_length_c 5.4602
_cell_angle_alpha 90.00
_cell_angle_beta 90.00
_cell_angle_gamma 90.00
_space_group_name_H-M_alt 'P 4/m m m'
_space_group_IT_number 123
_space_group_name_Hall '-P 4 2'
loop_
_atom_site_label
_atom_site_type_symbol
_atom_site_fract_x
_atom_site_fract_y
_atom_site_fract_z
Tc1 Tc 0.0000 0.0000 0.0000
P1 P 0.0000 0.0000 0.5000
I1 I 0.5000 0.5000 0.5000
O1 O 0.0000 0.5000 0.0000
```

polymorph energy (0 for the lowest one)	0.000	eV per atom
density of states at the Fermi level	1.2	states/eV/cell

=====

Entry 4:
Density functional theory data (GGA-PBE) for a relaxed TcPIO2 crystal.

Cell and atoms, written as CIF:
```
data_TcPIO2
_cell_length_a 3.6723
_cell_length_b 3.6723
_cell_length_c 6.3991
_cell_angle_alpha 90.00
_cell_angle_beta 90.00
_cell_angle_gamma 90.00
_space_group_name_H-M_alt 'P 4/m m m'
_space_group_IT_number 123
_space_group_name_Hall '-P 4 2'
loop_
_atom_site_label
_atom_site_type_symbol
_atom_site_fract_x
_atom_site_fract_y
_atom_site_fract_z
Tc1 Tc 0.0000 0.0000 0.0000
P1 P 0.5000 0.5000 0.5000
I1 I 0.5000 0.5000 0.0000
O1 O 0.0000 0.5000 0.5000
```

polymorph energy (0 for the lowest one)	0.871	eV per atom
density of states at the Fermi level	3.8	states/eV/cell

=====

Entry 5:
Density functional theory data (GGA-PBE) for a relaxed TcPIO2 crystal.

Cell and atoms, written as CIF:
```
data_TcPIO2
_cell_length_a 3.9337
_cell_length_b 3.9337
_cell_length_c 5.7264
_cell_angle_alpha 90.00
_cell_angle_beta 90.00
_cell_angle_gamma 90.00
_space_group_name_H-M_alt 'P 4/m m m'
_space_group_IT_number 123
_space_group_name_Hall '-P 4 2'
loop_
_atom_site_label
_atom_site_type_symbol
_atom_site_fract_x
_atom_site_fract_y
_atom_site_fract_z
Tc1 Tc 0.0000 0.0000 0.0000
P1 P 0.5000 0.5000 0.0000
I1 I 0.5000 0.5000 0.5000
O1 O 0.0000 0.5000 0.5000
```

polymorph energy (0 for the lowest one)	1.186	eV per atom
density of states at the Fermi level	1.7	states/eV/cell

=====

Entry 6:
Density functional theory data (GGA-PBE) for a relaxed TcP2IO crystal.

Cell and atoms, written as CIF:
```
data_TcP2IO
_cell_length_a 5.1056
_cell_length_b 5.1056
_cell_length_c 3.8716
_cell_angle_alpha 90.00
_cell_angle_beta 90.00
_cell_angle_gamma 90.00
_space_group_name_H-M_alt 'P 4/m m m'
_space_group_IT_number 123
_space_group_name_Hall '-P 4 2'
loop_
_atom_site_label
_atom_site_type_symbol
_atom_site_fract_x
_atom_site_fract_y
_atom_site_fract_z
Tc1 Tc 0.0000 0.0000 0.0000
P1 P 0.0000 0.5000 0.5000
I1 I 0.5000 0.5000 0.5000
O1 O 0.5000 0.5000 0.0000
```

polymorph energy (0 for the lowest one)	1.325	eV per atom
density of states at the Fermi level	2.7	states/eV/cell

=====

| no. | formation energy without anion corrections (eV per atom) | final energy (eV/atom) |
| --- | --- | --- |
| 1 | -2.41 | -6.903 |
| 2 | 0.02 | -5.522 |
| 3 | -0.51 | -5.954 |
| 4 | 0.37 | -5.083 |
| 5 | 0.68 | -4.769 |
| 6 | 1.34 | -4.197 |